No. 1
Compound: Na2TaCo
Source: the Alexandria database
Functional: PBEsol
Structure: optimized geometry

As for the density of states at the Fermi level: 1.275 states/eV per atom. Its formation energy is 1.76 eV per atom.

Unit cell a=6.570 b=6.570 c=6.570 alpha=90.00 beta=90.00 gamma=90.00
Space group Fm-3m (No. 225)
Asymmetric unit:
Na 0.250 0.250 0.250 (multiplicity 8)
Ta 0.000 0.000 0.000 (multiplicity 4)
Co 0.000 0.000 0.500 (multiplicity 4)

=====

No. 2
Compound: Na2YTaCo
Source: the Alexandria database
Functional: PBEsol
Structure: optimized geometry

As for the density of states at the Fermi level: 1.626 states/eV per atom. Its formation energy is 2.23 eV per atom.

Unit cell a=5.168 b=5.168 c=5.043 alpha=90.00 beta=90.00 gamma=90.00
Space group P4/mmm (No. 123)
Asymmetric unit:
Na 0.000 0.500 0.000 (multiplicity 2)
Y 0.000 0.000 0.000 (multiplicity 1)
Ta 0.000 0.000 0.500 (multiplicity 1)
Co 0.500 0.500 0.500 (multiplicity 1)

=====

No. 3
Compound: Na3CoTe
Source: the Alexandria database
Functional: PBEsol
Structure: optimized geometry

As for the density of states at the Fermi level: 1.485 states/eV per atom. The calculation puts the total energy at -2.594 eV per atom.

Unit cell a=5.293 b=5.293 c=5.293 alpha=90.00 beta=90.00 gamma=90.00
Space group Pm-3m (No. 221)
Asymmetric unit:
Na 0.000 0.000 0.500 (multiplicity 3)
Co 0.000 0.000 0.000 (multiplicity 1)
Te 0.500 0.500 0.500 (multiplicity 1)

=====

No. 4
Compound: NaCo3Te
Source: the Alexandria database
Functional: PBEsol
Structure: optimized geometry

As for the density of states at the Fermi level: 1.739 states/eV per atom. The calculation puts the total energy at -4.634 eV per atom.

Unit cell a=4.669 b=4.669 c=4.669 alpha=90.00 beta=90.00 gamma=90.00
Space group Pm-3m (No. 221)
Asymmetric unit:
Na 0.000 0.000 0.000 (multiplicity 1)
Co 0.000 0.500 0.500 (multiplicity 3)
Te 0.500 0.500 0.500 (multiplicity 1)

=====

No. 5
Compound: NaTi2Co
Source: the Alexandria database
Functional: PBEsol
Structure: optimized geometry

As for the density of states at the Fermi level: 0.844 states/eV per atom. Its formation energy is 0.47 eV per atom.

Unit cell a=6.187 b=6.187 c=6.187 alpha=90.00 beta=90.00 gamma=90.00
Space group Fm-3m (No. 225)
Asymmetric unit:
Na 0.000 0.000 0.000 (multiplicity 4)
Ti 0.250 0.250 0.250 (multiplicity 8)
Co 0.000 0.000 0.500 (multiplicity 4)

=====

No. 6
Compound: Na2TiCo
Source: the Alexandria database
Functional: PBEsol
Structure: optimized geometry

As for the density of states at the Fermi level: 0.582 states/eV per atom. Its formation energy is 0.93 eV per atom.

Unit cell a=10.245 b=10.245 c=4.109 alpha=90.00 beta=90.00 gamma=90.00
Space group I-42d (No. 122)
Asymmetric unit:
Na 0.114 0.750 0.125 (multiplicity 8)
Ti 0.000 0.000 0.500 (multiplicity 4)
Co 0.000 0.000 0.000 (multiplicity 4)